1.
Here is a geometry-optimized Ba2Ag2P structure from the Alexandria database. Energies are from GGA-PBE.

Output
The total energy is -3.45 eV per atom. As for the magnetic moment: 0.0 μB per formula unit. For the calculated formation energy, the calculation gives -0.460 eV/atom. As for the symmetry: I4/mmm, No. 139. Its mass density is 5.8 Mg/m³.

a = 3.9994 Å, b = 3.9994 Å, c = 9.8040 Å
α = 78.23°, β = 78.23°, γ = 90.00°
Last column: nearest neighbours and their distance in Å.
Atoms (fractional coordinates):
1 Ag 0.7500 0.2500 0.5000  4 Ag 2.83
2 Ba 0.4090 0.4090 0.1821  4 P 3.30, 1 Ba 3.42, 4 Ag 3.59
3 P 0.0000 0.0000 0.0000  8 Ba 3.30
4 Ba 0.5910 0.5910 0.8179  4 P 3.30, 1 Ba 3.42, 4 Ag 3.59
5 Ag 0.2500 0.7500 0.5000  4 Ag 2.83

***

2.
Here is a geometry-optimized Ba12Ag3P5 structure from the Alexandria database. Energies are from GGA-PBE.

Output
The total energy is -3.44 eV per atom. As for the magnetic moment: 0.0 μB per formula unit. For the calculated formation energy, the calculation gives -0.511 eV/atom. As for the symmetry: Ia-3d, No. 230. Its mass density is 3.8 Mg/m³.

a = 16.9619 Å, b = 16.9619 Å, c = 16.9619 Å
α = 109.47°, β = 109.47°, γ = 109.47°
Last column: nearest neighbours and their distance in Å.
Atoms (fractional coordinates):
1 Ba 0.8258 0.9088 0.0343  2 P 3.01-3.19
2 Ba 0.9170 0.0912 0.6255  2 P 3.01-3.19
3 P 0.1250 0.3750 0.2500  4 Ba 3.01
4 P 0.3750 0.2500 0.1250  4 Ba 3.01
5 Ba 0.2086 0.6742 0.0830  2 P 3.01-3.19
6 P 0.8750 0.2500 0.6250  4 Ba 3.01
7 Ag 0.6250 0.3750 0.7500  8 Ba 3.70-3.81
8 P 0.5000 0.5000 0.0000  6 Ba 3.19
9 Ba 0.2914 0.8745 0.9657  2 P 3.01-3.19
10 Ba 0.4088 0.3745 0.5830  2 P 3.01-3.19
11 Ag 0.7500 0.3750 0.1250  8 Ba 3.70-3.81
12 Ba 0.4088 0.0343 0.3258  2 P 3.01-3.19
13 Ag 0.3750 0.7500 0.6250  8 Ba 3.70-3.81
14 Ba 0.0343 0.4088 0.8258  2 P 3.01-3.19
15 Ba 0.5912 0.9657 0.6742  2 P 3.01-3.19
16 P 0.0000 0.0000 0.5000  6 Ba 3.19
17 Ba 0.3258 0.5343 0.4088  2 P 3.01-3.19
18 Ag 0.6250 0.2500 0.3750  8 Ba 3.70-3.81
19 Ba 0.8258 0.9170 0.2914  2 P 3.01-3.19
20 Ag 0.1250 0.2500 0.8750  8 Ba 3.70-3.81
21 Ba 0.1255 0.4170 0.0912  2 P 3.01-3.19
22 Ba 0.2086 0.5343 0.6255  2 P 3.01-3.19
23 Ag 0.2500 0.1250 0.3750  8 Ba 3.70-3.81
24 Ba 0.3258 0.7914 0.4170  2 P 3.01-3.19
25 Ba 0.9657 0.5912 0.1742  2 P 3.01-3.19
26 P 0.2500 0.3750 0.6250  4 Ba 3.01
27 P 0.7500 0.6250 0.3750  4 Ba 3.01
28 Ba 0.9657 0.3745 0.2914  2 P 3.01-3.19
29 Ba 0.2914 0.4170 0.8258  2 P 3.01-3.19
30 Ag 0.8750 0.1250 0.2500  8 Ba 3.70-3.81
31 Ba 0.5912 0.6255 0.4170  2 P 3.01-3.19
32 Ba 0.0343 0.6255 0.7086  2 P 3.01-3.19
33 P 0.6250 0.8750 0.2500  4 Ba 3.01
34 Ba 0.6255 0.5912 0.9170  2 P 3.01-3.19
35 P 0.2500 0.8750 0.1250  4 Ba 3.01
36 Ba 0.3745 0.9657 0.7914  2 P 3.01-3.19
37 Ba 0.1742 0.0830 0.7086  2 P 3.01-3.19
38 Ba 0.0912 0.1742 0.4657  2 P 3.01-3.19
39 P 0.0000 0.5000 0.5000  6 Ba 3.19
40 Ba 0.8745 0.5830 0.9088  2 P 3.01-3.19
41 P 0.0000 0.0000 0.0000  6 Ba 3.19
42 Ba 0.1742 0.0912 0.9657  2 P 3.01-3.19
43 Ba 0.7086 0.5830 0.1742  2 P 3.01-3.19
44 Ba 0.8745 0.2914 0.4657  2 P 3.01-3.19
45 Ag 0.1250 0.8750 0.7500  8 Ba 3.70-3.81
46 Ba 0.0912 0.9170 0.1255  2 P 3.01-3.19
47 P 0.5000 0.0000 0.5000  6 Ba 3.19
48 Ag 0.2500 0.6250 0.8750  8 Ba 3.70-3.81
49 P 0.3750 0.1250 0.7500  4 Ba 3.01
50 Ag 0.7500 0.8750 0.6250  8 Ba 3.70-3.81
51 Ba 0.9170 0.8258 0.7914  2 P 3.01-3.19
52 Ba 0.9088 0.8258 0.5343  2 P 3.01-3.19
53 P 0.5000 0.0000 0.0000  6 Ba 3.19
54 Ba 0.7914 0.4657 0.3745  2 P 3.01-3.19
55 Ba 0.6255 0.0343 0.2086  2 P 3.01-3.19
56 Ba 0.6742 0.2086 0.5830  2 P 3.01-3.19
57 P 0.8750 0.6250 0.7500  4 Ba 3.01
58 Ba 0.6742 0.4657 0.5912  2 P 3.01-3.19
59 Ba 0.4170 0.2914 0.3258  2 P 3.01-3.19
60 Ba 0.5343 0.3258 0.9088  2 P 3.01-3.19
61 P 0.1250 0.7500 0.3750  4 Ba 3.01
62 Ba 0.4170 0.1255 0.5912  2 P 3.01-3.19
63 Ba 0.4657 0.7914 0.8745  2 P 3.01-3.19
64 P 0.7500 0.1250 0.8750  4 Ba 3.01
65 Ba 0.5343 0.2086 0.1255  2 P 3.01-3.19
66 Ba 0.7086 0.1255 0.0343  2 P 3.01-3.19
67 Ba 0.5830 0.7086 0.6742  2 P 3.01-3.19
68 Ba 0.7914 0.3258 0.9170  2 P 3.01-3.19
69 Ba 0.5830 0.8745 0.4088  2 P 3.01-3.19
70 Ba 0.0830 0.1742 0.2086  2 P 3.01-3.19
71 P 0.5000 0.5000 0.5000  6 Ba 3.19
72 Ba 0.4657 0.6742 0.0912  2 P 3.01-3.19
73 Ag 0.3750 0.6250 0.2500  8 Ba 3.70-3.81
74 Ba 0.3745 0.4088 0.0830  2 P 3.01-3.19
75 Ba 0.9088 0.0830 0.8745  2 P 3.01-3.19
76 P 0.0000 0.5000 0.0000  6 Ba 3.19
77 Ba 0.0830 0.9088 0.3745  2 P 3.01-3.19
78 P 0.6250 0.7500 0.8750  4 Ba 3.01
79 Ba 0.1255 0.7086 0.5343  2 P 3.01-3.19
80 Ag 0.8750 0.7500 0.1250  8 Ba 3.70-3.81

***

3.
Here is a geometry-optimized Ba5Ag2P structure from the Alexandria database. Energies are from GGA-PBE.

Output
The total energy is -3.00 eV per atom. As for the magnetic moment: 0.0 μB per formula unit. For the calculated formation energy, the calculation gives -0.406 eV/atom. As for the symmetry: C2/c, No. 15. Its mass density is 4.4 Mg/m³.

a = 8.0448 Å, b = 8.9122 Å, c = 10.6856 Å
α = 96.35°, β = 112.11°, γ = 90.00°
Last column: nearest neighbours and their distance in Å.
Atoms (fractional coordinates):
1 Ba 0.7119 0.1971 0.5720  2 P 3.18-3.20
2 Ba 0.2881 0.8029 0.4280  2 P 3.18-3.20
3 Ba 0.2870 0.0762 0.8016  1 P 3.18, 2 Ag 3.47-3.52
4 Ba 0.4854 0.4238 0.1984  1 P 3.18, 2 Ag 3.47-3.52
5 Ag 0.3064 0.0699 0.1996  6 Ba 3.43-3.66
6 Ag 0.1068 0.4301 0.8004  6 Ba 3.43-3.66
7 Ba 0.8601 0.6971 0.5720  2 P 3.18-3.20
8 Ba 0.5146 0.5762 0.8016  1 P 3.18, 2 Ag 3.47-3.52
9 Ba 0.7130 0.9238 0.1984  1 P 3.18, 2 Ag 3.47-3.52
10 Ba 0.1399 0.3029 0.4280  2 P 3.18-3.20
11 Ag 0.8932 0.5699 0.1996  6 Ba 3.43-3.66
12 P 0.5000 0.5000 0.5000  6 Ba 3.18-3.20
13 Ag 0.6936 0.9301 0.8004  6 Ba 3.43-3.66
14 Ba 0.0776 0.7500 0.0000  4 Ag 3.43-3.53
15 Ba 0.9224 0.2500 0.0000  4 Ag 3.43-3.53
16 P 0.0000 0.0000 0.5000  6 Ba 3.18-3.20

***

4.
Here is a geometry-optimized Ba8Ag2P structure from the Alexandria database. Energies are from GGA-PBE.

Output
The total energy is -2.69 eV per atom. As for the magnetic moment: 0.0 μB per formula unit. For the calculated formation energy, the calculation gives -0.282 eV/atom. As for the symmetry: C2/m, No. 12. Its mass density is 4.0 Mg/m³.

a = 4.5531 Å, b = 11.2246 Å, c = 11.2052 Å
α = 92.03°, β = 101.72°, γ = 90.00°
Last column: nearest neighbours and their distance in Å.
Atoms (fractional coordinates):
1 Ag 0.1584 0.7395 0.3168  7 Ba 3.43-3.82
2 Ba 0.5989 0.5389 0.1978  2 Ag 3.43
3 Ba 0.7739 0.6812 0.5478  2 Ag 3.49
4 Ba 0.0112 0.1966 0.0224  2 P 3.17
5 Ba 0.9888 0.8034 0.9776  2 P 3.17
6 Ba 0.4011 0.4611 0.8022  2 Ag 3.43
7 Ag 0.8416 0.2605 0.6832  7 Ba 3.43-3.82
8 Ba 0.6447 0.9746 0.2894  1 P 3.20, 2 Ag 3.51
9 Ba 0.3553 0.0254 0.7106  1 P 3.20, 2 Ag 3.51
10 P 0.5000 0.0000 0.0000  6 Ba 3.17-3.20
11 Ba 0.2261 0.3188 0.4522  2 Ag 3.49